Record 1
Below is a relaxed structure of Dy2HoIn2Hg2, with properties calculated at the PBE level. Values from VASP.

The structure in Quantum ESPRESSO input format:
```
&SYSTEM
  ibrav = 0, nat = 7, ntyp = 4
/
ATOMIC_SPECIES
Dy 162.50 Dy.upf
Ho 164.93 Ho.upf
In 114.82 In.upf
Hg 200.59 Hg.upf
CELL_PARAMETERS angstrom
2.4694 1.4257 8.8092
-2.4694 1.4257 8.8092
0.0000 -2.8515 8.8092
ATOMIC_POSITIONS angstrom
Dy 0.0000 0.0000 3.4533
Dy 0.0000 0.0000 22.9742
Ho 0.0000 0.0000 0.0000
In 0.0000 0.0000 7.1321
In 0.0000 0.0000 19.2954
Hg 0.0000 0.0000 11.2573
Hg 0.0000 0.0000 15.1702
```

Calculated values
- Formation energy from the elements: -0.250 eV/atom
- DOS at the Fermi energy: 4.1 states/eV/cell
- Symmetry: R-3m



Record 2
Below is a relaxed structure of La2Dy2HoHg5, with properties calculated at the PBE level. Values from VASP.

The structure in Quantum ESPRESSO input format:
```
&SYSTEM
  ibrav = 0, nat = 20, ntyp = 4
/
ATOMIC_SPECIES
La 138.91 La.upf
Dy 162.50 Dy.upf
Ho 164.93 Ho.upf
Hg 200.59 Hg.upf
CELL_PARAMETERS angstrom
12.0278 0.0000 0.0000
0.0000 12.0278 0.0000
0.0000 0.0000 3.9525
ATOMIC_POSITIONS angstrom
La 2.0431 3.9708 0.0000
La 3.9708 9.9847 0.0000
La 8.0570 2.0431 0.0000
La 9.9847 8.0570 0.0000
Dy 1.5988 7.6127 0.0000
Dy 4.4151 1.5988 0.0000
Dy 7.6127 10.4290 0.0000
Dy 10.4290 4.4151 0.0000
Ho 0.0000 0.0000 0.0000
Ho 6.0139 6.0139 0.0000
Hg 0.0000 6.0139 1.9762
Hg 1.1143 9.9314 1.9762
Hg 2.0964 1.1143 1.9762
Hg 3.9175 7.1282 1.9762
Hg 4.8996 3.9175 1.9762
Hg 6.0139 0.0000 1.9762
Hg 7.1282 8.1103 1.9762
Hg 8.1103 4.8996 1.9762
Hg 9.9314 10.9135 1.9762
Hg 10.9135 2.0964 1.9762
```

Calculated values
- Formation energy from the elements: -0.353 eV/atom
- DOS at the Fermi energy: 15.2 states/eV/cell
- Symmetry: P4/mbm



Record 3
Below is a relaxed structure of LiDyHoHg, with properties calculated at the PBE level. Values from VASP.

The structure in Quantum ESPRESSO input format:
```
&SYSTEM
  ibrav = 0, nat = 16, ntyp = 4
/
ATOMIC_SPECIES
Li 6.94 Li.upf
Dy 162.50 Dy.upf
Ho 164.93 Ho.upf
Hg 200.59 Hg.upf
CELL_PARAMETERS angstrom
7.3676 0.0000 0.0000
0.0000 7.3676 0.0000
0.0000 0.0000 7.3676
ATOMIC_POSITIONS angstrom
Li 0.0000 0.0000 0.0000
Li 0.0000 3.6838 3.6838
Li 3.6838 0.0000 3.6838
Li 3.6838 3.6838 0.0000
Dy 1.8419 1.8419 1.8419
Dy 1.8419 5.5257 5.5257
Dy 5.5257 1.8419 5.5257
Dy 5.5257 5.5257 1.8419
Ho 1.8419 1.8419 5.5257
Ho 1.8419 5.5257 1.8419
Ho 5.5257 1.8419 1.8419
Ho 5.5257 5.5257 5.5257
Hg 0.0000 0.0000 3.6838
Hg 0.0000 3.6838 0.0000
Hg 3.6838 0.0000 0.0000
Hg 3.6838 3.6838 3.6838
```

Calculated values
- Formation energy from the elements: -0.212 eV/atom
- DOS at the Fermi energy: 19.4 states/eV/cell
- Symmetry: F-43m



Record 4
Below is a relaxed structure of Li2DyHoHg4, with properties calculated at the PBE level. Values from VASP.

The structure in Quantum ESPRESSO input format:
```
&SYSTEM
  ibrav = 0, nat = 8, ntyp = 4
/
ATOMIC_SPECIES
Li 6.94 Li.upf
Dy 162.50 Dy.upf
Ho 164.93 Ho.upf
Hg 200.59 Hg.upf
CELL_PARAMETERS angstrom
2.5074 1.4477 8.1876
-2.5074 1.4477 8.1876
0.0000 -2.8953 8.1876
ATOMIC_POSITIONS angstrom
Li 0.0000 0.0000 6.1454
Li 0.0000 0.0000 18.4175
Dy 0.0000 0.0000 12.2814
Ho 0.0000 0.0000 0.0000
Hg 0.0000 0.0000 3.0609
Hg 0.0000 0.0000 9.2047
Hg 0.0000 0.0000 15.3582
Hg 0.0000 0.0000 21.5020
```

Calculated values
- Formation energy from the elements: -0.437 eV/atom
- DOS at the Fermi energy: 5.8 states/eV/cell
- Symmetry: R-3m



Record 5
Below is a relaxed structure of LiDyHo2Hg4, with properties calculated at the PBE level. Values from VASP.

The structure in Quantum ESPRESSO input format:
```
&SYSTEM
  ibrav = 0, nat = 8, ntyp = 4
/
ATOMIC_SPECIES
Li 6.94 Li.upf
Dy 162.50 Dy.upf
Ho 164.93 Ho.upf
Hg 200.59 Hg.upf
CELL_PARAMETERS angstrom
2.5648 1.4808 8.5015
-2.5648 1.4808 8.5015
0.0000 -2.9616 8.5015
ATOMIC_POSITIONS angstrom
Li 0.0000 0.0000 0.0000
Dy 0.0000 0.0000 12.7522
Ho 0.0000 0.0000 6.4930
Ho 0.0000 0.0000 19.0114
Hg 0.0000 0.0000 3.1148
Hg 0.0000 0.0000 9.5461
Hg 0.0000 0.0000 15.9583
Hg 0.0000 0.0000 22.3897
```

Calculated values
- Formation energy from the elements: -0.454 eV/atom
- DOS at the Fermi energy: 7.1 states/eV/cell
- Symmetry: R-3m



Record 6
Below is a relaxed structure of DyHoMgHg, with properties calculated at the PBE level. Values from VASP.

The structure in Quantum ESPRESSO input format:
```
&SYSTEM
  ibrav = 0, nat = 16, ntyp = 4
/
ATOMIC_SPECIES
Dy 162.50 Dy.upf
Ho 164.93 Ho.upf
Mg 24.30 Mg.upf
Hg 200.59 Hg.upf
CELL_PARAMETERS angstrom
7.4722 0.0000 0.0000
0.0000 7.4722 0.0000
0.0000 0.0000 7.4722
ATOMIC_POSITIONS angstrom
Dy 0.0000 0.0000 0.0000
Dy 0.0000 3.7361 3.7361
Dy 3.7361 0.0000 3.7361
Dy 3.7361 3.7361 0.0000
Ho 0.0000 0.0000 3.7361
Ho 0.0000 3.7361 0.0000
Ho 3.7361 0.0000 0.0000
Ho 3.7361 3.7361 3.7361
Mg 1.8681 1.8681 1.8681
Mg 1.8681 5.6042 5.6042
Mg 5.6042 1.8681 5.6042
Mg 5.6042 5.6042 1.8681
Hg 1.8681 1.8681 5.6042
Hg 1.8681 5.6042 1.8681
Hg 5.6042 1.8681 1.8681
Hg 5.6042 5.6042 5.6042
```

Calculated values
- Formation energy from the elements: -0.261 eV/atom
- DOS at the Fermi energy: 16.9 states/eV/cell
- Symmetry: F-43m



Record 7
Below is a relaxed structure of DyHoMgHg, with properties calculated at the PBE level. Values from VASP.

The structure in Quantum ESPRESSO input format:
```
&SYSTEM
  ibrav = 0, nat = 4, ntyp = 4
/
ATOMIC_SPECIES
Dy 162.50 Dy.upf
Ho 164.93 Ho.upf
Mg 24.30 Mg.upf
Hg 200.59 Hg.upf
CELL_PARAMETERS angstrom
3.7741 0.0000 0.0000
0.0000 3.7741 0.0000
0.0000 0.0000 7.3476
ATOMIC_POSITIONS angstrom
Dy 0.0000 0.0000 0.0000
Ho 0.0000 0.0000 3.7378
Mg 1.8871 1.8871 1.8788
Hg 1.8871 1.8871 5.5261
```

Calculated values
- Formation energy from the elements: -0.278 eV/atom
- DOS at the Fermi energy: 4.5 states/eV/cell
- Symmetry: P4mm



Record 8
Below is a relaxed structure of DyHoMnHg, with properties calculated at the PBE level. Values from VASP.

The structure in Quantum ESPRESSO input format:
```
&SYSTEM
  ibrav = 0, nat = 16, ntyp = 4
/
ATOMIC_SPECIES
Dy 162.50 Dy.upf
Ho 164.93 Ho.upf
Mn 54.94 Mn.upf
Hg 200.59 Hg.upf
CELL_PARAMETERS angstrom
7.2553 0.0000 0.0000
0.0000 7.2553 0.0000
0.0000 0.0000 7.2553
ATOMIC_POSITIONS angstrom
Dy 0.0000 0.0000 0.0000
Dy 0.0000 3.6276 3.6276
Dy 3.6276 0.0000 3.6276
Dy 3.6276 3.6276 0.0000
Ho 0.0000 0.0000 3.6276
Ho 0.0000 3.6276 0.0000
Ho 3.6276 0.0000 0.0000
Ho 3.6276 3.6276 3.6276
Mn 1.8138 1.8138 1.8138
Mn 1.8138 5.4415 5.4415
Mn 5.4415 1.8138 5.4415
Mn 5.4415 5.4415 1.8138
Hg 1.8138 1.8138 5.4415
Hg 1.8138 5.4415 1.8138
Hg 5.4415 1.8138 1.8138
Hg 5.4415 5.4415 5.4415
```

Calculated values
- Formation energy from the elements: -0.083 eV/atom
- DOS at the Fermi energy: 23.9 states/eV/cell
- Symmetry: F-43m



Record 9
Below is a relaxed structure of DyHo2HgN, with properties calculated at the PBE level. Values from VASP.

The structure in Quantum ESPRESSO input format:
```
&SYSTEM
  ibrav = 0, nat = 5, ntyp = 4
/
ATOMIC_SPECIES
Dy 162.50 Dy.upf
Ho 164.93 Ho.upf
Hg 200.59 Hg.upf
N 14.01 N.upf
CELL_PARAMETERS angstrom
4.7727 0.0000 0.0000
0.0000 4.7727 0.0000
0.0000 0.0000 4.7996
ATOMIC_POSITIONS angstrom
Dy 0.0000 0.0000 0.0000
Ho 0.0000 2.3864 2.3998
Ho 2.3864 0.0000 2.3998
Hg 2.3864 2.3864 0.0000
N 0.0000 0.0000 2.3998
```

Calculated values
- DOS at the Fermi energy: 3.2 states/eV/cell
- Symmetry: P4/mmm
- ΔE_f (raw): -0.94 eV per atom



Record 10
Below is a relaxed structure of NdDy2HoHg4, with properties calculated at the PBE level. Values from VASP.

The structure in Quantum ESPRESSO input format:
```
&SYSTEM
  ibrav = 0, nat = 8, ntyp = 4
/
ATOMIC_SPECIES
Nd 144.24 Nd.upf
Dy 162.50 Dy.upf
Ho 164.93 Ho.upf
Hg 200.59 Hg.upf
CELL_PARAMETERS angstrom
2.6449 1.5270 8.6983
-2.6449 1.5270 8.6983
0.0000 -3.0540 8.6983
ATOMIC_POSITIONS angstrom
Nd 0.0000 0.0000 0.0000
Dy 0.0000 0.0000 6.5066
Dy 0.0000 0.0000 19.5882
Ho 0.0000 0.0000 13.0474
Hg 0.0000 0.0000 3.3148
Hg 0.0000 0.0000 9.8587
Hg 0.0000 0.0000 16.2361
Hg 0.0000 0.0000 22.7799
```

Calculated values
- Formation energy from the elements: -0.471 eV/atom
- DOS at the Fermi energy: 8.8 states/eV/cell
- Symmetry: R-3m